First-principles (PBE) data for a relaxed NdHoAg2Pb2 crystal, as listed in OQMD via LeMat-Bulk.

POSCAR file:
```
NdHoAg2Pb2
1.0
4.833 0.000 0.000
-2.417 4.186 0.000
0.000 0.000 7.525
Nd Ho Ag Pb
1 1 2 2
Direct
0.000 0.000 0.000 Nd
0.000 0.000 0.501 Ho
0.333 0.667 0.200 Ag
0.667 0.333 0.683 Ag
0.333 0.667 0.775 Pb
0.667 0.333 0.285 Pb
```

Properties
Total DFT energy (no corrections) = -0.3059 Ry/atom
Space group = No. 156

---

First-principles (PBE) data for a relaxed NdHoAg2Sb4 crystal, as listed in OQMD via LeMat-Bulk.

POSCAR file:
```
NdHoAg2Sb4
1.0
4.369 0.000 0.000
0.000 4.369 0.000
0.000 0.000 10.534
Nd Ho Ag Sb
1 1 2 4
Direct
0.000 0.000 0.000 Nd
0.500 0.500 0.526 Ho
0.000 0.500 0.269 Ag
0.500 0.000 0.269 Ag
0.000 0.000 0.451 Sb
0.000 0.500 0.758 Sb
0.500 0.000 0.758 Sb
0.500 0.500 0.087 Sb
```

Properties
Total DFT energy (no corrections) = -0.3364 Ry/atom
Space group = No. 99

---

First-principles (PBE) data for a relaxed HoNiAg crystal, as listed in OQMD via LeMat-Bulk.

POSCAR file:
```
HoNiAg
1.0
0.000 3.255 3.255
3.255 0.000 3.255
3.255 3.255 0.000
Ho Ni Ag
1 1 1
Direct
0.000 0.000 0.000 Ho
0.250 0.250 0.250 Ni
0.750 0.750 0.750 Ag
```

Properties
Total DFT energy (no corrections) = -0.2974 Ry/atom
Space group = No. 216